Record 1
The following is a PBE calculation of ErTiNi after structural relaxation, from the Alexandria database.

Values from the calculation:
- DFT formation energy (meV per atom) = -321
- DOS(E_F) (states/eV/cell) = 7.07
- total moment (μB/f.u.) = 0.00
- calculated total energy (eV/cell) = -38.4
- symmetry = P4/nmm, No. 129

The structure in POSCAR format:
```
ErTiNi
1.0
4.2986 0.0000 0.0000
0.0000 4.2986 0.0000
0.0000 0.0000 6.2418
Er Ti Ni
2 2 2
direct
0.2500 0.2500 0.1293
0.7500 0.7500 0.8707
0.2500 0.7500 0.5000
0.7500 0.2500 0.5000
0.2500 0.2500 0.6928
0.7500 0.7500 0.3072
```

***

Record 2
The following is a PBE calculation of ErTlNi2 after structural relaxation, from the Alexandria database.

Values from the calculation:
- DFT formation energy (meV per atom) = -212
- DOS(E_F) (states/eV/cell) = 13.68
- total moment (μB/f.u.) = 0.00
- calculated total energy (eV/cell) = -77.4
- symmetry = Fm-3m, No. 225

The structure in POSCAR format:
```
ErTlNi2
1.0
6.5146 0.0000 0.0000
0.0000 6.5146 0.0000
0.0000 0.0000 6.5146
Er Tl Ni
4 4 8
direct
0.0000 0.0000 0.0000
0.0000 0.5000 0.5000
0.5000 0.0000 0.5000
0.5000 0.5000 0.0000
0.0000 0.0000 0.5000
0.0000 0.5000 0.0000
0.5000 0.0000 0.0000
0.5000 0.5000 0.5000
0.2500 0.2500 0.2500
0.2500 0.2500 0.7500
0.2500 0.7500 0.2500
0.2500 0.7500 0.7500
0.7500 0.2500 0.2500
0.7500 0.2500 0.7500
0.7500 0.7500 0.2500
0.7500 0.7500 0.7500
```

***

Record 3
The following is a PBE calculation of Er6Tl2Ni after structural relaxation, from the Alexandria database.

Values from the calculation:
- DFT formation energy (meV per atom) = -81
- DOS(E_F) (states/eV/cell) = 4.45
- total moment (μB/f.u.) = 0.00
- calculated total energy (eV/cell) = -38.6
- symmetry = Immm, No. 71

The structure in POSCAR format:
```
Er6Tl2Ni
1.0
-2.5183 3.5734 7.3623
2.5183 -3.5734 7.3623
2.5183 3.5734 -7.3623
Er Tl Ni
6 2 1
direct
0.0845 0.3467 0.7378
0.2241 0.0000 0.2241
0.3910 0.6533 0.7378
0.6090 0.3467 0.2622
0.7759 0.0000 0.7759
0.9155 0.6533 0.2622
0.3320 0.8320 0.5000
0.6680 0.1680 0.5000
0.0000 0.5000 0.5000
```

***

Record 4
The following is a PBE calculation of Er6TlNi2 after structural relaxation, from the Alexandria database.

Values from the calculation:
- DFT formation energy (meV per atom) = -336
- DOS(E_F) (states/eV/cell) = 17.17
- total moment (μB/f.u.) = 0.00
- calculated total energy (eV/cell) = -88.7
- symmetry = Immm, No. 71

The structure in POSCAR format:
```
Er6TlNi2
1.0
-4.6371 4.8241 5.0018
4.6371 -4.8241 5.0018
4.6371 4.8241 -5.0018
Er Tl Ni
12 2 4
direct
0.0265 0.2329 0.7936
0.1831 0.2926 0.4757
0.1831 0.7074 0.8906
0.3252 0.0186 0.6933
0.3252 0.6319 0.3067
0.4393 0.2329 0.2064
0.5607 0.7671 0.7936
0.6748 0.3681 0.6933
0.6748 0.9814 0.3067
0.8169 0.2926 0.1094
0.8169 0.7074 0.5243
0.9735 0.7671 0.2064
0.0000 0.0000 0.0000
0.5000 0.5000 0.0000
0.1241 0.6241 0.5000
0.3561 0.0000 0.3561
0.6439 0.0000 0.6439
0.8759 0.3759 0.5000
```